No. 1
Below is crystalline SbOs at its relaxed geometry, with properties calculated at the PBE level.

a = 5.413 Å, b = 5.413 Å, c = 5.413 Å
α = 90.00°, β = 90.00°, γ = 90.00°
Space group Fm-3m (No. 225)
Symmetry-distinct sites (fractional):
1 Sb 0.000 0.000 0.000 x4
2 Os 0.000 0.000 0.500 x4

Magnetization (μB per cell): 0.19
E (eV per cell): -53.67


No. 2
Below is crystalline Re4W at its relaxed geometry, with properties calculated at the PBE level.

a = 9.576 Å, b = 9.576 Å, c = 5.005 Å
α = 90.00°, β = 90.00°, γ = 90.00°
Space group P4_2/mnm (No. 136)
Symmetry-distinct sites (fractional):
1 Re 0.034 0.366 0.000 x8
2 Re 0.065 0.264 0.500 x8
3 Re 0.185 0.815 0.249 x8
4 W 0.000 0.000 0.500 x2
5 W 0.102 0.102 0.000 x4

Magnetization (μB per cell): 0.00
E (eV per cell): -373.34
ΔH_f (0 K) (eV/atom): 0.0857


No. 3
Below is crystalline Tb2HoCu4Ge4 at its relaxed geometry, with properties calculated at the PBE level.

a = 4.210 Å, b = 6.660 Å, c = 13.966 Å
α = 90.00°, β = 90.00°, γ = 90.00°
Space group Immm (No. 71)
Symmetry-distinct sites (fractional):
1 Tb 0.000 0.000 0.130 x4
2 Ho 0.000 0.500 0.000 x2
3 Cu 0.000 0.190 0.331 x8
4 Ge 0.000 0.308 0.500 x4
5 Ge 0.000 0.500 0.216 x4

Magnetization (μB per cell): 0.00
E (eV per cell): -108.32


No. 4
Below is crystalline MgPaNi at its relaxed geometry, with properties calculated at the PBE level.

a = 6.511 Å, b = 6.511 Å, c = 6.511 Å
α = 90.00°, β = 90.00°, γ = 90.00°
Space group F-43m (No. 216)
Symmetry-distinct sites (fractional):
1 Mg 0.000 0.000 0.000 x4
2 Pa 0.250 0.250 0.250 x4
3 Ni 0.000 0.000 0.500 x4

Magnetization (μB per cell): 1.84
E (eV per cell): -54.92


No. 5
Below is crystalline Zr2TaNbGe2 at its relaxed geometry, with properties calculated at the PBE level.

a = 3.877 Å, b = 3.884 Å, c = 14.956 Å
α = 90.00°, β = 90.00°, γ = 90.00°
Space group Immm (No. 71)
Symmetry-distinct sites (fractional):
1 Zr 0.000 0.000 0.177 x4
2 Ta 0.000 0.500 0.000 x2
3 Nb 0.000 0.500 0.500 x2
4 Ge 0.000 0.000 0.365 x4

Magnetization (μB per cell): 0.01
E (eV per cell): -104.60


No. 6
Below is crystalline LaBeAsOs at its relaxed geometry, with properties calculated at the PBE level.

a = 6.538 Å, b = 6.538 Å, c = 6.538 Å
α = 90.00°, β = 90.00°, γ = 90.00°
Space group F-43m (No. 216)
Symmetry-distinct sites (fractional):
1 La 0.000 0.000 0.000 x4
2 Be 0.250 0.250 0.750 x4
3 As 0.250 0.250 0.250 x4
4 Os 0.000 0.000 0.500 x4

Magnetization (μB per cell): 0.00
E (eV per cell): -97.63


No. 7
Below is crystalline NdHoCu2 at its relaxed geometry, with properties calculated at the PBE level.

a = 5.481 Å, b = 4.516 Å, c = 7.228 Å
α = 90.00°, β = 91.38°, γ = 90.00°
Space group P2_1/m (No. 11)
Symmetry-distinct sites (fractional):
1 Nd 0.134 0.250 0.184 x2
2 Ho 0.367 0.250 0.678 x2
3 Cu 0.131 0.750 0.469 x2
4 Cu 0.379 0.750 0.965 x2

Magnetization (μB per cell): 0.00
E (eV per cell): -35.33
ΔH_f (0 K) (eV/atom): -0.2229


No. 8
Below is crystalline CsUHg at its relaxed geometry, with properties calculated at the PBE level.

a = 7.625 Å, b = 7.625 Å, c = 7.625 Å
α = 90.00°, β = 90.00°, γ = 90.00°
Space group F-43m (No. 216)
Symmetry-distinct sites (fractional):
1 Cs 0.000 0.000 0.000 x4
2 U 0.250 0.250 0.250 x4
3 Hg 0.000 0.000 0.500 x4

Magnetization (μB per cell): 14.51
E (eV per cell): -33.84


No. 9
Below is crystalline Dy3TcO at its relaxed geometry, with properties calculated at the PBE level.

a = 4.651 Å, b = 4.651 Å, c = 4.651 Å
α = 90.00°, β = 90.00°, γ = 90.00°
Space group Pm-3m (No. 221)
Symmetry-distinct sites (fractional):
1 Dy 0.000 0.000 0.500 x3
2 Tc 0.500 0.500 0.500 x1
3 O 0.000 0.000 0.000 x1

Magnetization (μB per cell): 0.01
E (eV per cell): -34.39


No. 10
Below is crystalline HfCuSnOs at its relaxed geometry, with properties calculated at the PBE level.

a = 6.471 Å, b = 6.471 Å, c = 6.471 Å
α = 90.00°, β = 90.00°, γ = 90.00°
Space group F-43m (No. 216)
Symmetry-distinct sites (fractional):
1 Hf 0.000 0.000 0.000 x4
2 Cu 0.250 0.250 0.750 x4
3 Sn 0.000 0.000 0.500 x4
4 Os 0.250 0.250 0.250 x4

Magnetization (μB per cell): 0.04
E (eV per cell): -118.15


No. 11
Below is crystalline CuPbClF2 at its relaxed geometry, with properties calculated at the PBE level.

a = 5.651 Å, b = 10.700 Å, c = 5.585 Å
α = 90.00°, β = 90.00°, γ = 90.00°
Space group Cmcm (No. 63)
Symmetry-distinct sites (fractional):
1 Cu 0.000 0.069 0.250 x4
2 Pb 0.000 0.359 0.250 x4
3 Cl 0.000 0.245 0.750 x4
4 F 0.247 0.500 0.000 x8

E (eV per cell): -79.35


No. 12
Below is crystalline BaNpMo at its relaxed geometry, with properties calculated at the PBE level.

a = 7.110 Å, b = 7.110 Å, c = 7.110 Å
α = 90.00°, β = 90.00°, γ = 90.00°
Space group F-43m (No. 216)
Symmetry-distinct sites (fractional):
1 Ba 0.000 0.000 0.000 x4
2 Np 0.000 0.000 0.500 x4
3 Mo 0.250 0.250 0.250 x4

Magnetization (μB per cell): 11.84
E (eV per cell): -85.09


No. 13
Below is crystalline AgSbI6 at its relaxed geometry, with properties calculated at the PBE level.

a = 11.309 Å, b = 11.309 Å, c = 11.309 Å
α = 90.00°, β = 90.00°, γ = 90.00°
Space group F-43m (No. 216)
Symmetry-distinct sites (fractional):
1 Ag 0.000 0.000 0.000 x4
2 Sb 0.250 0.250 0.250 x4
3 I 0.005 0.250 0.750 x24

E (eV per cell): -61.17